No. 1
PBE TbThCuRe, relaxed; V = 349 Å³/cell; energy of formation = -0.0178 eV/atom; N(E_F) = 2.00 states/eV/f.u.
1.0
7.041 0.000 0.000
0.000 7.041 0.000
0.000 0.000 7.041
Tb Th Cu Re
4 4 4 4
Direct
0.000 0.000 0.000
0.000 0.500 0.500
0.500 0.000 0.500
0.500 0.500 0.000
0.000 0.000 0.500
0.000 0.500 0.000
0.500 0.000 0.000
0.500 0.500 0.500
0.250 0.250 0.250
0.250 0.750 0.750
0.750 0.250 0.750
0.750 0.750 0.250
0.250 0.250 0.750
0.250 0.750 0.250
0.750 0.250 0.250
0.750 0.750 0.750

---

No. 2
PBE Cu2ReTc, relaxed; V = 234 Å³/cell; energy of formation = 0.9609 eV/atom; N(E_F) = 4.81 states/eV/f.u.; ΔE to the lowest computed polymorph = 821 meV per atom
1.0
6.819 0.000 0.000
0.000 6.819 0.000
0.000 0.000 5.026
Cu Re Tc
8 4 4
Direct
0.248 0.750 0.125
0.250 0.248 0.875
0.250 0.252 0.375
0.252 0.750 0.625
0.748 0.250 0.625
0.750 0.748 0.375
0.750 0.752 0.875
0.752 0.250 0.125
0.000 0.000 0.000
0.000 0.500 0.250
0.500 0.000 0.750
0.500 0.500 0.500
0.000 0.000 0.500
0.000 0.500 0.750
0.500 0.000 0.250
0.500 0.500 0.000

---

No. 3
PBE CuRe2Tc, relaxed; V = 117 Å³/cell; energy of formation = 0.3321 eV/atom; N(E_F) = 3.29 states/eV/f.u.; ΔE to the lowest computed polymorph = 175 meV per atom
1.0
2.924 0.000 0.000
0.000 4.436 0.000
0.000 0.000 9.009
Cu Re Tc
2 4 2
Direct
0.000 0.000 0.000
0.500 0.500 0.000
0.000 0.000 0.499
0.000 0.500 0.751
0.500 0.000 0.751
0.500 0.500 0.499
0.000 0.500 0.249
0.500 0.000 0.249

---

Q: N(E_F) of number 1 (TbThCuRe)?
A: 2.00 states/eV/f.u.